Record 1
Below is BaSc2HgCl after structural relaxation, with properties calculated at the GGA-PBE level.

Structure (POSCAR):
```
BaSc2HgCl
1.0
5.228 0.000 0.000
0.000 7.410 0.000
0.000 0.000 5.228
Ba Sc Cl Hg
1 2 1 1
direct
0.500 0.500 0.500 Ba
0.500 0.000 0.000 Sc
0.000 0.000 0.500 Sc
0.000 0.500 0.000 Cl
0.000 0.000 0.000 Hg
```

Calculated values
Crystal system   tetragonal
Formation energy (no corrections)   12 kJ/mol of formula units

Record 2
Below is BaSr2HgCl8 after structural relaxation, with properties calculated at the GGA-PBE level.

Structure (POSCAR):
```
BaSr2HgCl8
1.0
6.754 -0.002 -0.004
0.046 6.675 -0.008
0.006 0.010 8.932
Cl Hg Ba Sr
8 1 1 2
direct
0.643 0.720 0.500 Cl
0.357 0.280 0.500 Cl
0.325 0.262 0.000 Cl
0.159 0.774 0.778 Cl
0.159 0.774 0.222 Cl
0.841 0.226 0.222 Cl
0.675 0.738 0.000 Cl
0.841 0.226 0.778 Cl
0.000 0.000 0.000 Hg
0.000 0.000 0.500 Ba
0.500 0.500 0.762 Sr
0.500 0.500 0.238 Sr
```

Calculated values
Crystal system   monoclinic
Formation energy (no corrections)   -2278 kJ/mol of formula units

Record 3
Below is BaSrHgCl6 after structural relaxation, with properties calculated at the GGA-PBE level.

Structure (POSCAR):
```
BaSrHgCl6
1.0
7.219 0.000 0.000
-3.610 6.252 0.000
0.000 0.000 13.452
Hg Cl Sr Ba
2 12 2 2
direct
0.333 0.667 0.750 Hg
0.667 0.333 0.250 Hg
0.981 0.344 0.133 Cl
0.636 0.981 0.867 Cl
0.636 0.656 0.633 Cl
0.019 0.364 0.633 Cl
0.656 0.636 0.133 Cl
0.364 0.019 0.133 Cl
0.656 0.019 0.367 Cl
0.981 0.636 0.367 Cl
0.364 0.344 0.367 Cl
0.344 0.981 0.633 Cl
0.344 0.364 0.867 Cl
0.019 0.656 0.867 Cl
0.667 0.333 0.750 Sr
0.333 0.667 0.250 Sr
0.000 0.000 0.000 Ba
0.000 0.000 0.500 Ba
```

Calculated values
Crystal system   trigonal
Formation energy (no corrections)   -1584 kJ/mol of formula units